# 1
Computed, not measured: NdHfBe2Si2 after structural relaxation at the PBE level of DFT.

Cell: 3.8053 3.8053 7.8781 Å, 90.00 90.00 120.00°
Last column: nearest neighbours and their distance in Å.
Fractional positions:
Be (0.3333, 0.6667, 0.7169)  3 Si 2.20
Be (0.6667, 0.3333, 0.2831)  3 Si 2.20
Si (0.3333, 0.6667, 0.2737)  3 Be 2.20
Si (0.6667, 0.3333, 0.7263)  3 Be 2.20
Nd (0.0000, 0.0000, 0.0000)  6 Si 3.08, 6 Be 3.13
Hf (0.0000, 0.0000, 0.5000)  6 Be 2.78, 6 Si 2.83

# 2
Computed, not measured: SrNdSi3Au after structural relaxation at the PBE level of DFT.

Cell: 8.5178 8.3834 6.0806 Å, 70.10 67.74 42.16°
Last column: nearest neighbours and their distance in Å.
Fractional positions:
Si (0.1617, 0.1617, 0.8383)  2 Si 2.37, 1 Au 2.51
Si (0.1656, 0.6737, 0.8344)  2 Si 2.34-2.37, 1 Au 2.46
Si (0.8344, 0.3263, 0.1656)  2 Si 2.34-2.37, 1 Au 2.46
Si (0.8383, 0.8383, 0.1617)  2 Si 2.37, 1 Au 2.51
Si (0.6737, 0.1656, 0.3263)  2 Si 2.34-2.37, 1 Au 2.46
Si (0.3263, 0.8344, 0.6737)  2 Si 2.34-2.37, 1 Au 2.46
Nd (0.2416, 0.7584, 0.2416)  10 Si 3.18-3.33, 2 Au 3.33
Nd (0.7584, 0.2416, 0.7584)  10 Si 3.18-3.33, 2 Au 3.33
Sr (0.2500, 0.2500, 0.2500)  4 Au 3.28, 8 Si 3.30-3.32
Sr (0.7500, 0.7500, 0.7500)  4 Au 3.28, 8 Si 3.30-3.32
Au (0.3339, 0.3339, 0.6661)  3 Si 2.46-2.51
Au (0.6661, 0.6661, 0.3339)  3 Si 2.46-2.51

# 3
Computed, not measured: CsTaAuSeS2 after structural relaxation at the PBE level of DFT.

Cell: 8.5196 8.5196 10.0471 Å, 90.00 90.00 155.16°
Last column: nearest neighbours and their distance in Å.
Fractional positions:
Au (0.5503, 0.4497, 0.2500)  2 S 2.39
Au (0.4497, 0.5503, 0.7500)  2 S 2.39
Ta (0.0000, 0.0000, 0.0000)  4 S 2.54, 2 Se 2.77
Ta (0.0000, 0.0000, 0.5000)  4 S 2.54, 2 Se 2.77
S (0.6044, 0.3956, 0.4702)  1 Au 2.39, 2 Ta 2.54
S (0.3956, 0.6044, 0.9702)  1 Au 2.39, 2 Ta 2.54
S (0.6044, 0.3956, 0.0298)  1 Au 2.39, 2 Ta 2.54
S (0.3956, 0.6044, 0.5298)  1 Au 2.39, 2 Ta 2.54
Cs (0.2424, 0.7575, 0.2500)  2 Se 3.61, 2 Cs 3.67, 6 S 3.68-3.79, 2 Au 3.69
Cs (0.7575, 0.2424, 0.7500)  2 Se 3.61, 2 Cs 3.67, 6 S 3.68-3.79, 2 Au 3.69
Se (0.0703, 0.9297, 0.7500)  2 Au 2.72, 2 Ta 2.77
Se (0.9297, 0.0703, 0.2500)  2 Au 2.72, 2 Ta 2.77

# 4
Computed, not measured: Na2TcI6 after structural relaxation at the PBE level of DFT.

Cell: 7.5895 7.8096 13.2876 Å, 90.00 124.60 90.00°
Last column: nearest neighbours and their distance in Å.
Fractional positions:
Tc (0.5000, 0.5000, 0.5000)  6 I 2.75-2.76
Tc (0.5000, 0.0000, 0.0000)  6 I 2.75-2.76
I (0.3785, 0.1993, 0.5512)  1 Tc 2.75
I (0.2552, 0.6825, 0.5555)  1 Tc 2.75
I (0.7448, 0.3175, 0.4445)  1 Tc 2.75
I (0.6215, 0.8007, 0.4488)  1 Tc 2.75
I (0.7448, 0.1825, 0.9445)  1 Tc 2.75
I (0.6215, 0.6993, 0.9488)  1 Tc 2.75
I (0.1552, 0.4740, 0.2595)  1 Tc 2.76
I (0.3785, 0.3007, 0.0512)  1 Tc 2.75
I (0.8448, 0.9740, 0.2405)  1 Tc 2.76
I (0.2552, 0.8175, 0.0555)  1 Tc 2.75
I (0.1552, 0.0260, 0.7595)  1 Tc 2.76
I (0.8448, 0.5260, 0.7405)  1 Tc 2.76
Na (0.7362, 0.9233, 0.7511)  5 I 3.22-3.58
Na (0.2638, 0.0767, 0.2489)  5 I 3.22-3.58
Na (0.7362, 0.5767, 0.2511)  5 I 3.22-3.58
Na (0.2638, 0.4233, 0.7489)  5 I 3.22-3.58

# 5
Computed, not measured: Er2Ge after structural relaxation at the PBE level of DFT.

Cell: 6.0617 6.0617 6.0617 Å, 60.00 60.00 60.00°
Last column: nearest neighbours and their distance in Å.
Fractional positions:
Ge (0.0000, 0.0000, 0.0000)  12 Er 3.55, 4 Ge 3.71
Ge (0.2500, 0.2500, 0.2500)  12 Er 3.55, 4 Ge 3.71
Er (0.1250, 0.6250, 0.6250)  6 Er 3.03
Er (0.6250, 0.1250, 0.6250)  6 Er 3.03
Er (0.6250, 0.6250, 0.6250)  6 Er 3.03
Er (0.6250, 0.6250, 0.1250)  6 Er 3.03

# 6
Computed, not measured: Zr4CdP6O24 after structural relaxation at the PBE level of DFT.

Cell: 8.8777 8.8777 8.9776 Å, 90.00 119.63 60.00°
Last column: nearest neighbours and their distance in Å.
Fractional positions:
P (0.5153, 0.5323, 0.2591)  4 O 1.52-1.56
P (0.7884, 0.7438, 0.7409)  4 O 1.52-1.56
P (0.2086, 0.0475, 0.7409)  4 O 1.52-1.56
P (0.4847, 0.4677, 0.7409)  4 O 1.52-1.56
P (0.7914, 0.9525, 0.2591)  4 O 1.52-1.56
P (0.2116, 0.2562, 0.2591)  4 O 1.52-1.56
Zr (0.7050, 0.6475, 0.0575)  6 O 2.02-2.17
Zr (0.2709, 0.8646, 0.4063)  6 O 2.05-2.10
Zr (0.7291, 0.1354, 0.5937)  6 O 2.05-2.10
Zr (0.2950, 0.3525, 0.9425)  6 O 2.02-2.17
O (0.5816, 0.7914, 0.5721)  1 P 1.52
O (0.1992, 0.0094, 0.5721)  1 P 1.52
O (0.9643, 0.9403, 0.2503)  1 P 1.53
O (0.3207, 0.4447, 0.7382)  1 P 1.56
O (0.4184, 0.2086, 0.4279)  1 P 1.52
O (0.1906, 0.0954, 0.2503)  1 P 1.53
O (0.3456, 0.7140, 0.2503)  1 P 1.53
O (0.8008, 0.9906, 0.4279)  1 P 1.52
O (0.8106, 0.6814, 0.9151)  1 P 1.54
O (0.0272, 0.4174, 0.2618)  1 P 1.56
O (0.8094, 0.9046, 0.7497)  1 P 1.53
O (0.6544, 0.2860, 0.7497)  1 P 1.53
O (0.1828, 0.2346, 0.7382)  1 P 1.56
O (0.6793, 0.5553, 0.2618)  1 P 1.56
O (0.6364, 0.3730, 0.4279)  1 P 1.52
O (0.3636, 0.6270, 0.5721)  1 P 1.52
O (0.0357, 0.0597, 0.7497)  1 P 1.53
O (0.5965, 0.5080, 0.9151)  1 P 1.54
O (0.5769, 0.1045, 0.0849)  1 P 1.54
O (0.8172, 0.7654, 0.2618)  1 P 1.56
O (0.1894, 0.3186, 0.0849)  1 P 1.54
O (0.4035, 0.4920, 0.0849)  1 P 1.54
O (0.9728, 0.5826, 0.7382)  1 P 1.56
O (0.4231, 0.8955, 0.9151)  1 P 1.54
Cd (0.0000, 0.5000, 0.5000)  6 O 2.35

# 7
Computed, not measured: RbNaNiTe after structural relaxation at the PBE level of DFT.

Cell: 5.1352 5.1352 5.1352 Å, 60.00 60.00 60.00°
Last column: nearest neighbours and their distance in Å.
Fractional positions:
Te (0.0000, 0.0000, 0.0000)  4 Na 3.14, 4 Ni 3.14
Na (0.7500, 0.7500, 0.7500)  4 Rb 3.14, 4 Te 3.14
Ni (0.2500, 0.2500, 0.2500)  4 Rb 3.14, 4 Te 3.14
Rb (0.5000, 0.5000, 0.5000)  4 Na 3.14, 4 Ni 3.14

# 8
Computed, not measured: Dy2Ho2CI2Cl3 after structural relaxation at the PBE level of DFT.

Cell: 9.3936 9.3936 7.9010 Å, 100.19 100.19 23.40°
Last column: nearest neighbours and their distance in Å.
Fractional positions:
Cl (0.1584, 0.1584, 0.8297)  2 Ho 2.72, 1 Dy 2.84
Cl (0.5000, 0.5000, 0.5000)  4 Dy 2.99
Cl (0.8416, 0.8416, 0.1703)  2 Ho 2.72, 1 Dy 2.84
Ho (0.3698, 0.3698, 0.9450)  1 C 2.36
Ho (0.6302, 0.6302, 0.0550)  1 C 2.36
Dy (0.9980, 0.9980, 0.2078)  2 C 2.52
Dy (0.0020, 0.0020, 0.7922)  2 C 2.52
I (0.8336, 0.8336, 0.6473)  2 Ho 3.01, 1 Dy 3.10
I (0.1664, 0.1664, 0.3527)  2 Ho 3.01, 1 Dy 3.10
C (0.5000, 0.5000, 0.0000)  2 Ho 2.36, 4 Dy 2.52

# 9
Computed, not measured: Gd2DyAgHg3Au2 after structural relaxation at the PBE level of DFT.

Computed properties:
Energy relative to the elements = -57 kJ/mol of atoms

Cell: 3.7741 7.9873 7.9873 Å, 119.88 90.00 90.00°
Last column: nearest neighbours and their distance in Å.
Fractional positions:
Au (0.5000, 0.3349, 0.6663)  3 Hg 2.94-2.96, 2 Dy 3.06, 4 Gd 3.08-3.09
Au (0.5000, 0.6663, 0.3349)  3 Hg 2.94-2.96, 2 Dy 3.06, 4 Gd 3.08-3.09
Hg (0.5000, 0.2700, 0.2700)  2 Ag 2.87, 2 Au 2.94, 2 Dy 3.22
Hg (0.5000, 0.7303, 0.9999)  2 Ag 2.86, 2 Au 2.95-2.96
Hg (0.5000, 0.9999, 0.7303)  2 Ag 2.86, 2 Au 2.95-2.96
Gd (0.0000, 0.4038, 0.0000)  4 Au 3.08-3.09, 6 Hg 3.22-3.42, 1 Ag 3.23
Gd (0.0000, 0.0000, 0.4038)  4 Au 3.08-3.09, 6 Hg 3.22-3.42, 1 Ag 3.23
Ag (0.0000, 0.9992, 0.9992)  6 Hg 2.86-2.87
Dy (0.0000, 0.5956, 0.5956)  4 Au 3.06, 6 Hg 3.22-3.42, 1 Ag 3.23

# 10
Computed, not measured: AcInOs after structural relaxation at the PBE level of DFT.

Cell: 5.0647 5.0647 5.0647 Å, 60.00 60.00 60.00°
Last column: nearest neighbours and their distance in Å.
Fractional positions:
In (0.2500, 0.2500, 0.2500)  4 Ac 3.10
Ac (0.0000, 0.0000, 0.0000)  4 Os 3.10, 4 In 3.10
Os (0.7500, 0.7500, 0.7500)  4 Ac 3.10

# 11
Computed, not measured: Ba2Li2Zn3 after structural relaxation at the PBE level of DFT.

Cell: 8.9064 8.9064 8.9064 Å, 34.59 34.59 34.59°
Last column: nearest neighbours and their distance in Å.
Fractional positions:
Li (0.9973, 0.9973, 0.9973)  1 Zn 2.77
Li (0.5070, 0.5070, 0.5070)  4 Zn 2.95-3.27
Zn (0.6245, 0.6245, 0.6245)  4 Li 2.95-3.21, 1 Ba 3.28
Zn (0.8868, 0.8868, 0.8868)  1 Li 2.77, 3 Ba 3.10
Zn (0.3650, 0.3650, 0.3650)  4 Ba 3.16-3.37, 3 Li 3.18
Ba (0.2392, 0.2392, 0.2392)  7 Zn 3.10-3.32
Ba (0.7551, 0.7551, 0.7551)  5 Zn 3.28-3.37

# 12
Computed, not measured: HoTcPt after structural relaxation at the PBE level of DFT.

Computed properties:
Energy relative to the elements = 2 kJ/mol of atoms

Cell: 4.5417 4.5417 4.5417 Å, 60.00 60.00 60.00°
Last column: nearest neighbours and their distance in Å.
Fractional positions:
Ho (0.2500, 0.2500, 0.2500)  4 Pt 2.78
Tc (0.7500, 0.7500, 0.7500)  4 Pt 2.78
Pt (0.0000, 0.0000, 0.0000)  4 Tc 2.78, 4 Ho 2.78

# 13
Computed, not measured: YFeBIr after structural relaxation at the PBE level of DFT.

Cell: 4.4553 4.4553 4.4553 Å, 60.00 60.00 60.00°
Last column: nearest neighbours and their distance in Å.
Fractional positions:
Fe (0.7500, 0.7500, 0.7500)  4 B 2.73, 4 Ir 2.73
Ir (0.5000, 0.5000, 0.5000)  4 Y 2.73, 4 Fe 2.73
Y (0.2500, 0.2500, 0.2500)  4 Ir 2.73, 4 B 2.73
B (0.0000, 0.0000, 0.0000)  4 Fe 2.73, 4 Y 2.73

# 14
Computed, not measured: CsBOs after structural relaxation at the PBE level of DFT.

Cell: 4.4102 4.4102 4.4102 Å, 60.00 60.00 60.00°
Last column: nearest neighbours and their distance in Å.
Fractional positions:
Cs (0.2500, 0.2500, 0.2500)  4 B 2.70
B (0.0000, 0.0000, 0.0000)  4 Os 2.70, 4 Cs 2.70
Os (0.7500, 0.7500, 0.7500)  4 B 2.70

# 15
Computed, not measured: Y3Tm3ReTe2 after structural relaxation at the PBE level of DFT.

Cell: 8.2006 8.2006 4.1538 Å, 90.00 90.00 120.00°
Last column: nearest neighbours and their distance in Å.
Fractional positions:
Y (0.0000, 0.3900, 0.0000)  1 Re 3.20, 4 Te 3.28, 4 Tm 3.48
Y (0.6100, 0.6100, 0.0000)  1 Re 3.20, 4 Te 3.28, 4 Tm 3.48
Y (0.3900, 0.0000, 0.0000)  1 Re 3.20, 4 Te 3.28, 4 Tm 3.48
Tm (0.7657, 0.0000, 0.5000)  2 Re 2.83
Tm (0.2343, 0.2343, 0.5000)  2 Re 2.83
Tm (0.0000, 0.7657, 0.5000)  2 Re 2.83
Te (0.6667, 0.3333, 0.5000)  3 Tm 3.22, 6 Y 3.28
Te (0.3333, 0.6667, 0.5000)  3 Tm 3.22, 6 Y 3.28
Re (0.0000, 0.0000, 0.0000)  6 Tm 2.83

# 16
Computed, not measured: Mg2Ta2FeCoIr2 after structural relaxation at the PBE level of DFT.

Cell: 4.3662 4.3662 6.1801 Å, 90.00 90.00 90.00°
Last column: nearest neighbours and their distance in Å.
Fractional positions:
Ta (0.5000, 0.0000, 0.7486)  2 Fe 2.67, 4 Ir 2.67-2.68, 2 Co 2.68
Ta (0.0000, 0.5000, 0.2514)  2 Fe 2.67, 4 Ir 2.67-2.68, 2 Co 2.68
Ir (0.5000, 0.5000, 0.0000)  4 Mg 2.67, 4 Ta 2.68
Ir (0.0000, 0.0000, 0.5000)  4 Ta 2.67, 4 Mg 2.68
Fe (0.5000, 0.5000, 0.5000)  4 Ta 2.67, 4 Mg 2.68
Co (0.0000, 0.0000, 0.0000)  4 Mg 2.67, 4 Ta 2.68
Mg (0.0000, 0.5000, 0.7505)  2 Co 2.67, 4 Ir 2.67-2.68, 2 Fe 2.68
Mg (0.5000, 0.0000, 0.2495)  2 Co 2.67, 4 Ir 2.67-2.68, 2 Fe 2.68

# 17
Computed, not measured: RbPrCdSe3 after structural relaxation at the PBE level of DFT.

Cell: 8.9837 4.6259 17.0047 Å, 90.00 90.00 90.00°
Last column: nearest neighbours and their distance in Å.
Fractional positions:
Cd (0.6232, 0.2500, 0.3582)  4 Se 2.64-2.76
Cd (0.1232, 0.2500, 0.1418)  4 Se 2.64-2.76
Cd (0.3768, 0.7500, 0.6418)  4 Se 2.64-2.76
Cd (0.8768, 0.7500, 0.8582)  4 Se 2.64-2.76
Se (0.8720, 0.2500, 0.4538)  1 Cd 2.76, 2 Pr 2.97
Se (0.7887, 0.7500, 0.7100)  1 Cd 2.64, 1 Pr 2.84
Se (0.2887, 0.7500, 0.7900)  1 Cd 2.64, 1 Pr 2.84
Se (0.0005, 0.7500, 0.0826)  2 Cd 2.75
Se (0.2113, 0.2500, 0.2900)  1 Cd 2.64, 1 Pr 2.84
Se (0.4995, 0.2500, 0.5826)  2 Cd 2.75
Se (0.6280, 0.7500, 0.9538)  1 Cd 2.76, 2 Pr 2.97
Se (0.9995, 0.2500, 0.9174)  2 Cd 2.75
Se (0.7113, 0.2500, 0.2100)  1 Cd 2.64, 1 Pr 2.84
Se (0.3720, 0.2500, 0.0462)  1 Cd 2.76, 2 Pr 2.97
Se (0.5005, 0.7500, 0.4174)  2 Cd 2.75
Se (0.1280, 0.7500, 0.5462)  1 Cd 2.76, 2 Pr 2.97
Rb (0.4351, 0.7500, 0.2046)  7 Se 3.39-3.67, 2 Cd 3.79
Rb (0.0649, 0.2500, 0.7046)  7 Se 3.39-3.67, 2 Cd 3.79
Rb (0.9351, 0.7500, 0.2954)  7 Se 3.39-3.67, 2 Cd 3.79
Rb (0.5649, 0.2500, 0.7954)  7 Se 3.39-3.67, 2 Cd 3.79
Pr (0.2531, 0.7500, 0.9561)  4 Se 2.84-3.13
Pr (0.2469, 0.2500, 0.4561)  4 Se 2.84-3.13
Pr (0.7469, 0.2500, 0.0439)  4 Se 2.84-3.13
Pr (0.7531, 0.7500, 0.5439)  4 Se 2.84-3.13

# 18
Computed, not measured: Dy2I after structural relaxation at the PBE level of DFT.

Cell: 9.5085 9.5085 9.5085 Å, 60.00 60.00 60.00°
Last column: nearest neighbours and their distance in Å.
Fractional positions:
Dy (0.3750, 0.3750, 0.3750)  2 I 2.91
Dy (0.8750, 0.3750, 0.3750)  2 I 2.91
Dy (0.3750, 0.8750, 0.3750)  2 I 2.91
Dy (0.3750, 0.3750, 0.8750)  2 I 2.91
I (0.5000, 0.5000, 0.5000)  4 Dy 2.91
I (0.2500, 0.2500, 0.2500)  4 Dy 2.91

# 19
Computed, not measured: La2NdGdZn12Ge6 after structural relaxation at the PBE level of DFT.

Cell: 7.6826 4.1087 13.3044 Å, 90.00 90.00 90.00°
Last column: nearest neighbours and their distance in Å.
Fractional positions:
Zn (0.8110, 0.0000, 0.0000)  2 Zn 2.50-2.51, 2 Ge 2.53
Zn (0.3106, 0.0000, 0.4986)  6 Zn 2.53-2.83, 2 Ge 2.54
Zn (0.8567, 0.5000, 0.8550)  3 Ge 2.54-2.66, 4 Zn 2.82-2.84
Zn (0.8569, 0.5000, 0.1454)  3 Ge 2.52-2.66, 2 Zn 2.81
Zn (0.7903, 0.5000, 0.4996)  3 Ge 2.51-2.64
Zn (0.0924, 0.0000, 0.9052)  2 Zn 2.50-2.54, 2 Ge 2.54
Zn (0.5957, 0.0000, 0.5936)  2 Zn 2.49-2.53, 2 Ge 2.53
Zn (0.3543, 0.5000, 0.6427)  3 Ge 2.54-2.67, 4 Zn 2.83-2.84
Zn (0.2862, 0.5000, 0.0007)  3 Ge 2.56-2.68, 4 Zn 2.84
Zn (0.3556, 0.5000, 0.3565)  3 Ge 2.52-2.69, 2 Zn 2.81
Zn (0.0915, 0.0000, 0.0963)  2 Zn 2.51-2.54, 2 Ge 2.54
Zn (0.5989, 0.0000, 0.4063)  2 Zn 2.49-2.53, 2 Ge 2.53
Ge (0.1165, 0.5000, 0.4976)  5 Zn 2.51-2.66
Ge (0.6192, 0.5000, 0.0003)  5 Zn 2.53-2.66
Ge (0.6918, 0.5000, 0.6898)  5 Zn 2.53-2.67
Ge (0.1876, 0.5000, 0.1936)  5 Zn 2.52-2.68
Ge (0.1894, 0.5000, 0.8083)  5 Zn 2.54-2.67
Ge (0.6959, 0.5000, 0.3103)  5 Zn 2.52-2.69
La (0.5004, 0.0000, 0.8327)  6 Ge 3.16-3.17, 9 Zn 3.26-3.45
La (0.5006, 0.0000, 0.1680)  6 Ge 3.17-3.18, 9 Zn 3.26-3.45
Nd (0.9993, 0.0000, 0.6652)  6 Ge 3.15-3.16, 9 Zn 3.24-3.43
Gd (0.9993, 0.0000, 0.3340)  6 Ge 3.12-3.13, 9 Zn 3.22-3.44

# 20
Computed, not measured: ErNi2Te after structural relaxation at the PBE level of DFT.

Cell: 4.9244 4.0668 7.1172 Å, 90.00 94.59 90.00°
Last column: nearest neighbours and their distance in Å.
Fractional positions:
Ni (0.3631, 0.2500, 0.9579)  2 Ni 2.49, 2 Er 2.68-2.73, 3 Te 2.72-2.74
Ni (0.6369, 0.7500, 0.0421)  2 Ni 2.49, 2 Er 2.68-2.73, 3 Te 2.72-2.74
Ni (0.1682, 0.2500, 0.4780)  2 Ni 2.66, 4 Te 2.68-2.77, 3 Er 2.83-2.88
Ni (0.8318, 0.7500, 0.5220)  2 Ni 2.66, 4 Te 2.68-2.77, 3 Er 2.83-2.88
Er (0.8511, 0.2500, 0.8003)  7 Ni 2.68-2.92
Er (0.1489, 0.7500, 0.1997)  7 Ni 2.68-2.92
Te (0.6490, 0.2500, 0.3015)  7 Ni 2.68-2.77
Te (0.3510, 0.7500, 0.6985)  7 Ni 2.68-2.77

# 21
Computed, not measured: TmHfGa2Cu2 after structural relaxation at the PBE level of DFT.

Cell: 4.2618 4.2618 6.6771 Å, 90.00 90.00 120.00°
Last column: nearest neighbours and their distance in Å.
Fractional positions:
Ga (0.3333, 0.6667, 0.7669)  3 Cu 2.46-2.47
Ga (0.3333, 0.6667, 0.2331)  3 Cu 2.46-2.47
Cu (0.6667, 0.3333, 0.7891)  3 Ga 2.46-2.47
Cu (0.6667, 0.3333, 0.2109)  3 Ga 2.46-2.47
Tm (0.0000, 0.0000, 0.5000)  6 Ga 3.04, 6 Cu 3.13, 2 Hf 3.34
Hf (0.0000, 0.0000, 0.0000)  6 Cu 2.83, 6 Ga 2.91

# 22
Computed, not measured: RbTlPt after structural relaxation at the PBE level of DFT.

Cell: 5.1450 5.1450 5.1450 Å, 60.00 60.00 60.00°
Last column: nearest neighbours and their distance in Å.
Fractional positions:
Pt (0.0000, 0.0000, 0.0000)  4 Tl 3.15, 4 Rb 3.15
Rb (0.2500, 0.2500, 0.2500)  4 Pt 3.15
Tl (0.7500, 0.7500, 0.7500)  4 Pt 3.15

E readings, ordered: -6.133; -5.030; -5.261; -3.053; -4.276; -7.953; -2.700; -5.043; -3.274; -4.934; -1.658; -6.982; -7.140; -3.587; -6.386; -7.876; -4.098; -1.997; -3.259; -5.106; -5.104; -3.030 eV per atom